Material: CsNdTlO3
Method: DFT, PBE-GGA
State: optimized geometry

abc: 7.457 3.666 11.182
angles: 90.00 108.46 90.00
Space group P2_1/m (No. 11)
Symmetry-distinct sites (fractional):
Cs 0.245 0.250 0.247 x2
Nd 0.337 0.750 0.873 x2
Tl 0.149 0.250 0.599 x2
O 0.115 0.250 0.795 x2
O 0.334 0.750 0.646 x2
O 0.444 0.750 0.092 x2

## Properties
Raw formation energy in eV/atom: -1.85
Mass density in kg/m³: 6065

---

Material: TiZnSb2
Method: DFT, PBE-GGA
State: optimized geometry

abc: 4.1530 4.1530 18.7881
angles: 90.00 90.00 120.00
Space group R3m (No. 160, hexagonal axes)
Symmetry-distinct sites (fractional):
Ti 0.0000 0.0000 0.0000 x3
Zn 0.0000 0.0000 0.8407 x3
Sb 0.0000 0.0000 0.4166 x3
Sb 0.0000 0.0000 0.5923 x3

## Properties
Raw formation energy in eV/atom: -0.02
Mass density in kg/m³: 6334
Energy relative to the lowest polymorph listed for this composition in eV per atom: 0.000

---

What is the formula in the first record?
CsNdTlO3

---

Look up the raw formation energy of the first one.
-1.85 eV/atom

---

Please write out number 1 again, unchanged.
Material: CsNdTlO3
Method: DFT, PBE-GGA
State: optimized geometry

abc: 7.457 3.666 11.182
angles: 90.00 108.46 90.00
Space group P2_1/m (No. 11)
Symmetry-distinct sites (fractional):
Cs 0.245 0.250 0.247 x2
Nd 0.337 0.750 0.873 x2
Tl 0.149 0.250 0.599 x2
O 0.115 0.250 0.795 x2
O 0.334 0.750 0.646 x2
O 0.444 0.750 0.092 x2

## Properties
Raw formation energy in eV/atom: -1.85
Mass density in kg/m³: 6065

---

What did the second record say?
Material: TiZnSb2
Method: DFT, PBE-GGA
State: optimized geometry

abc: 4.1530 4.1530 18.7881
angles: 90.00 90.00 120.00
Space group R3m (No. 160, hexagonal axes)
Symmetry-distinct sites (fractional):
Ti 0.0000 0.0000 0.0000 x3
Zn 0.0000 0.0000 0.8407 x3
Sb 0.0000 0.0000 0.4166 x3
Sb 0.0000 0.0000 0.5923 x3

## Properties
Raw formation energy in eV/atom: -0.02
Mass density in kg/m³: 6334
Energy relative to the lowest polymorph listed for this composition in eV per atom: 0.000